(1)
Entry from the Alexandria database: a PBEsol-optimized structure of Mn3AlCu (meta-GGA SCAN).

Space-group type: Pm-3m
Fermi-level density of states: 0.762 states/eV per atom
Calculated formation energy: 912 meV/atom

Cell lengths 4.395, 4.395, 4.395 Å; angles 90.00, 90.00, 90.00 degrees
Atoms (fractional coordinates):
Mn1 0.000 0.000 0.500
Mn2 0.000 0.500 0.000
Mn3 0.500 0.000 0.000
Al1 0.000 0.000 0.000
Cu1 0.500 0.500 0.500



(2)
Entry from the Alexandria database: a PBEsol-optimized structure of ZnHgBr2 (meta-GGA SCAN).

Space-group type: R-3m
Fermi-level density of states: 0.000 states/eV per atom
ΔE_f (raw): -635.7 meV per atom

Cell lengths 9.512, 9.512, 9.512 Å; angles 22.23, 22.23, 22.23 degrees
Atoms (fractional coordinates):
Zn1 0.000 0.000 0.000
Hg1 0.500 0.500 0.500
Br1 0.280 0.280 0.280
Br2 0.720 0.720 0.720



(3)
Entry from the Alexandria database: a PBEsol-optimized structure of LiSi2Ni (meta-GGA SCAN).

Space-group type: Cm
Fermi-level density of states: 0.337 states/eV per atom
ΔE_f (raw): -93.2 meV per atom

Cell lengths 4.429, 4.429, 4.220 Å; angles 96.53, 96.53, 34.98 degrees
Atoms (fractional coordinates):
Li1 0.000 0.000 0.000
Si1 0.511 0.511 0.515
Si2 0.754 0.754 0.240
Ni1 0.248 0.248 0.739



(4)
Entry from the Alexandria database: a PBEsol-optimized structure of ScNbAs2 (meta-GGA SCAN).

Space-group type: I-42d
Fermi-level density of states: 0.803 states/eV per atom
Calculated formation energy: -369 meV/atom

Cell lengths 7.164, 7.164, 7.164 Å; angles 131.22, 131.22, 71.46 degrees
Atoms (fractional coordinates):
Sc1 0.000 0.000 0.000
Sc2 0.750 0.250 0.500
Nb1 0.250 0.750 0.500
Nb2 0.500 0.500 0.000
As1 0.142 0.625 0.017
As2 0.375 0.392 0.517
As3 0.608 0.125 0.983
As4 0.875 0.858 0.483



(5)
Entry from the Alexandria database: a PBEsol-optimized structure of HfTiRe2 (meta-GGA SCAN).

Space-group type: Fm-3m
Fermi-level density of states: 0.645 states/eV per atom
Calculated formation energy: -452 meV/atom

Cell lengths 4.468, 4.468, 4.468 Å; angles 60.00, 60.00, 60.00 degrees
Atoms (fractional coordinates):
Hf1 0.000 0.000 0.000
Ti1 0.500 0.500 0.500
Re1 0.250 0.250 0.250
Re2 0.750 0.750 0.750



(6)
Entry from the Alexandria database: a PBEsol-optimized structure of CrTe3 (meta-GGA SCAN).

Space-group type: Immm
Fermi-level density of states: 0.350 states/eV per atom
ΔE_f (raw): -78.2 meV per atom

Cell lengths 6.613, 6.613, 6.613 Å; angles 147.11, 137.16, 55.04 degrees
Atoms (fractional coordinates):
Cr1 0.000 0.000 0.000
Te1 0.168 0.668 0.500
Te2 0.500 0.500 0.000
Te3 0.832 0.332 0.500



(7)
Entry from the Alexandria database: a PBEsol-optimized structure of LiIN2F (meta-GGA SCAN).

Space-group type: P4/mmm
Fermi-level density of states: 0.343 states/eV per atom
ΔE_f (raw): 1340.5 meV per atom

Cell lengths 3.978, 3.978, 7.121 Å; angles 90.00, 90.00, 90.00 degrees
Atoms (fractional coordinates):
Li1 0.000 0.000 0.000
I1 0.500 0.500 0.000
N1 0.000 0.500 0.500
N2 0.500 0.000 0.500
F1 0.500 0.500 0.500



(8)
Entry from the Alexandria database: a PBEsol-optimized structure of ReW (meta-GGA SCAN).

Space-group type: Pmmn
Fermi-level density of states: 0.705 states/eV per atom
Calculated formation energy: 251 meV/atom

Cell lengths 2.754, 3.979, 5.582 Å; angles 90.00, 90.00, 90.00 degrees
Atoms (fractional coordinates):
Re1 0.250 0.250 0.121
Re2 0.750 0.750 0.879
W1 0.250 0.250 0.631
W2 0.750 0.750 0.369



(9)
Entry from the Alexandria database: a PBEsol-optimized structure of Pb3WCl2O5 (meta-GGA SCAN).

Space-group type: Cmcm
Fermi-level density of states: 0.000 states/eV per atom
ΔE_f (raw): -1679.0 meV per atom

Cell lengths 7.067, 7.067, 11.035 Å; angles 90.00, 90.00, 133.29 degrees
Atoms (fractional coordinates):
Pb1 0.097 0.903 0.750
Pb2 0.349 0.651 0.533
Pb3 0.349 0.651 0.967
Pb4 0.651 0.349 0.033
Pb5 0.651 0.349 0.467
Pb6 0.903 0.097 0.250
W1 0.237 0.763 0.250
W2 0.763 0.237 0.750
Cl1 0.000 0.000 0.000
Cl2 0.000 0.000 0.500
Cl3 0.474 0.526 0.250
Cl4 0.526 0.474 0.750
O1 0.038 0.494 0.130
O2 0.038 0.494 0.370
O3 0.103 0.897 0.250
O4 0.494 0.038 0.630
O5 0.494 0.038 0.870
O6 0.506 0.962 0.130
O7 0.506 0.962 0.370
O8 0.897 0.103 0.750
O9 0.962 0.506 0.630
O10 0.962 0.506 0.870



(10)
Entry from the Alexandria database: a PBEsol-optimized structure of Y2Au (meta-GGA SCAN).

Space-group type: I4/mcm
Fermi-level density of states: 1.230 states/eV per atom
Calculated formation energy: -770 meV/atom

Cell lengths 5.875, 5.875, 5.875 Å; angles 107.37, 107.37, 113.76 degrees
Atoms (fractional coordinates):
Y1 0.178 0.678 0.855
Y2 0.322 0.178 0.500
Y3 0.678 0.822 0.500
Y4 0.822 0.322 0.145
Au1 0.250 0.250 0.000
Au2 0.750 0.750 0.000



(11)
Entry from the Alexandria database: a PBEsol-optimized structure of CrCoRu2O (meta-GGA SCAN).

Space-group type: P4/mmm
Fermi-level density of states: 0.795 states/eV per atom
ΔE_f (raw): 712.3 meV per atom

Cell lengths 4.624, 4.624, 3.273 Å; angles 90.00, 90.00, 90.00 degrees
Atoms (fractional coordinates):
Cr1 0.000 0.000 0.000
Co1 0.500 0.500 0.500
Ru1 0.000 0.500 0.500
Ru2 0.500 0.000 0.500
O1 0.500 0.500 0.000



(12)
Entry from the Alexandria database: a PBEsol-optimized structure of LaBeP (meta-GGA SCAN).

Space-group type: P-6m2
Fermi-level density of states: 0.133 states/eV per atom
Calculated formation energy: -1085 meV/atom

Cell lengths 3.752, 3.752, 4.418 Å; angles 90.00, 90.00, 120.00 degrees
Atoms (fractional coordinates):
La1 0.000 0.000 0.000
Be1 0.333 0.667 0.500
P1 0.667 0.333 0.500